Computed, not measured: a geometry-optimized Be2AsAu structure at the PBE level of DFT.

a b c (Å): 3.6266 3.6266 15.5066
angles (deg): 90.00 90.00 120.00
Fractional positions:
Be 0.0000 0.0000 0.0000
Be 0.0000 0.0000 0.1798
Be 0.3333 0.6667 0.6667
Be 0.3333 0.6667 0.8464
Be 0.6667 0.3333 0.3333
Be 0.6667 0.3333 0.5131
As 0.0000 0.0000 0.6065
As 0.3333 0.6667 0.2731
As 0.6667 0.3333 0.9398
Au 0.0000 0.0000 0.4346
Au 0.3333 0.6667 0.1013
Au 0.6667 0.3333 0.7680

## Properties
The final energy comes out at -3.712 eV/atom. As for the space group: R3m, No. 160. The formation energy comes out at 0.1328 eV/atom.

Computed, not measured: a geometry-optimized SrV3Ir structure at the PBE level of DFT.

a b c (Å): 4.8463 4.8463 4.8463
angles (deg): 90.00 90.00 90.00
Fractional positions:
Sr 0.0000 0.0000 0.0000
V 0.0000 0.5000 0.5000
V 0.5000 0.0000 0.5000
V 0.5000 0.5000 0.0000
Ir 0.5000 0.5000 0.5000

## Properties
The final energy comes out at -6.936 eV/atom. Its energy relative to the lowest polymorph listed for this composition is 0.0000 eV/atom. As for the space group: Pm-3m, No. 221. The formation energy comes out at 0.6438 eV/atom.

Computed, not measured: a geometry-optimized LiZnSn2Hg structure at the PBE level of DFT.

a b c (Å): 5.2949 5.2949 5.1493
angles (deg): 90.00 90.00 90.00
Fractional positions:
Li 0.0000 0.0000 0.0000
Zn 0.5000 0.5000 0.5000
Sn 0.0000 0.5000 0.5000
Sn 0.5000 0.0000 0.5000
Hg 0.5000 0.5000 0.0000

## Properties
The final energy comes out at -2.071 eV/atom. As for the space group: P4/mmm, No. 123. The formation energy comes out at 0.2281 eV/atom.

Computed, not measured: a geometry-optimized ScNi3Ru structure at the PBE level of DFT.

a b c (Å): 4.4630 4.4630 4.4630
angles (deg): 90.00 90.00 90.00
Fractional positions:
Sc 0.0000 0.0000 0.0000
Ni 0.0000 0.5000 0.5000
Ni 0.5000 0.0000 0.5000
Ni 0.5000 0.5000 0.0000
Ru 0.5000 0.5000 0.5000

## Properties
The final energy comes out at -5.869 eV/atom. Its energy relative to the lowest polymorph listed for this composition is 0.0000 eV/atom. As for the space group: Pm-3m, No. 221. The formation energy comes out at 0.7215 eV/atom.

Computed, not measured: a geometry-optimized ErSiNi structure at the PBE level of DFT.

a b c (Å): 11.0289 11.0289 11.0289
angles (deg): 158.38 43.83 142.35
Fractional positions:
Er 0.0000 0.0000 0.0000
Er 0.0708 0.9060 0.1648
Er 0.3276 0.9972 0.3304
Er 0.4124 0.9124 0.5000
Er 0.6669 0.9972 0.6696
Er 0.7412 0.9060 0.8352
Si 0.1926 0.2922 0.9004
Si 0.3439 0.6130 0.7310
Si 0.3919 0.2922 0.0996
Si 0.7265 0.2910 0.4355
Si 0.8555 0.2910 0.5645
Si 0.8820 0.6130 0.2690
Ni 0.0147 0.6212 0.3935
Ni 0.0529 0.2828 0.7701
Ni 0.2277 0.6212 0.6065
Ni 0.5127 0.2828 0.2299
Ni 0.5508 0.6221 0.9287
Ni 0.6935 0.6221 0.0713

## Properties
The final energy comes out at -6.091 eV/atom. As for the space group: Imm2, No. 44. As for the uncorrected formation energy: -835.3 meV/atom.

Computed, not measured: a geometry-optimized AgW2Br structure at the PBE level of DFT.

a b c (Å): 3.1890 3.1890 7.8727
angles (deg): 90.00 90.00 90.00
Fractional positions:
Ag 0.0000 0.0000 0.0000
W 0.0000 0.0000 0.5801
W 0.5000 0.5000 0.7488
Br 0.5000 0.5000 0.3191

## Properties
The final energy comes out at -6.942 eV/atom. Its energy relative to the lowest polymorph listed for this composition is 0.1687 eV/atom. As for the space group: P4mm, No. 99. As for the uncorrected formation energy: 665.3 meV/atom.

Computed, not measured: a geometry-optimized ErFeTe structure at the PBE level of DFT.

a b c (Å): 12.3081 12.3081 12.3081
angles (deg): 17.71 17.71 17.71
Fractional positions:
Er 0.0563 0.0563 0.0563
Er 0.9437 0.9437 0.9437
Fe 0.3346 0.3346 0.3346
Fe 0.6654 0.6654 0.6654
Te 0.2178 0.2178 0.2178
Te 0.7822 0.7822 0.7822

## Properties
The final energy comes out at -5.800 eV/atom. As for the space group: R-3m, No. 166. As for the uncorrected formation energy: -410.9 meV/atom.

Computed, not measured: a geometry-optimized CsBi3O structure at the PBE level of DFT.

a b c (Å): 6.4971 6.4971 6.4971
angles (deg): 90.00 90.00 90.00
Fractional positions:
Cs 0.0000 0.0000 0.0000
Bi 0.0000 0.0000 0.5000
Bi 0.0000 0.5000 0.0000
Bi 0.5000 0.0000 0.0000
O 0.5000 0.5000 0.5000

## Properties
The final energy comes out at -1.695 eV/atom. Its energy relative to the lowest polymorph listed for this composition is 1.8829 eV/atom. As for the space group: Pm-3m, No. 221. As for the uncorrected formation energy: 1796.2 meV/atom.

Computed, not measured: a geometry-optimized Ac4Pd2Au structure at the PBE level of DFT.

a b c (Å): 8.5669 8.5669 8.5669
angles (deg): 109.66 109.66 109.08
Fractional positions:
Ac 0.2026 0.2601 0.5575
Ac 0.2026 0.6451 0.9425
Ac 0.2601 0.2026 0.0575
Ac 0.3549 0.7974 0.5575
Ac 0.6451 0.2026 0.4425
Ac 0.7399 0.7974 0.9425
Ac 0.7974 0.3549 0.0575
Ac 0.7974 0.7399 0.4425
Pd 0.0000 0.5000 0.5000
Pd 0.5000 0.0000 0.0000
Pd 0.5000 0.5000 0.0000
Pd 0.5000 0.5000 0.5000
Au 0.1250 0.8750 0.2500
Au 0.8750 0.1250 0.7500

## Properties
The final energy comes out at -4.924 eV/atom. As for the space group: I4_1/amd, No. 141. The formation energy comes out at -0.6243 eV/atom.

Computed, not measured: a geometry-optimized Tb8NdTh4 structure at the PBE level of DFT.

a b c (Å): 9.9157 9.9157 9.9157
angles (deg): 43.82 43.82 43.82
Fractional positions:
Tb 0.1903 0.7502 0.7502
Tb 0.2218 0.2218 0.2218
Tb 0.2498 0.2498 0.8097
Tb 0.2498 0.8097 0.2498
Tb 0.7502 0.1903 0.7502
Tb 0.7502 0.7502 0.1903
Tb 0.7782 0.7782 0.7782
Tb 0.8097 0.2498 0.2498
Nd 0.5000 0.5000 0.5000
Th 0.0000 0.0000 0.0000
Th 0.0000 0.5000 0.5000
Th 0.5000 0.0000 0.5000
Th 0.5000 0.5000 0.0000

## Properties
The final energy comes out at -5.290 eV/atom. As for the space group: R-3m, No. 166. The formation energy comes out at 0.2092 eV/atom.

Computed, not measured: a geometry-optimized Zn2Ga2Te structure at the PBE level of DFT.

a b c (Å): 7.3257 7.3257 3.9321
angles (deg): 90.00 90.00 90.00
Fractional positions:
Zn 0.1240 0.3760 0.0000
Zn 0.3760 0.8760 0.0000
Zn 0.6240 0.1240 0.0000
Zn 0.8760 0.6240 0.0000
Ga 0.1720 0.6720 0.5000
Ga 0.3280 0.1720 0.5000
Ga 0.6720 0.8280 0.5000
Ga 0.8280 0.3280 0.5000
Te 0.0000 0.0000 0.0000
Te 0.5000 0.5000 0.0000

## Properties
The final energy comes out at -2.276 eV/atom. Its energy relative to the lowest polymorph listed for this composition is 0.0118 eV/atom. As for the space group: P4/mbm, No. 127. As for the uncorrected formation energy: 72.9 meV/atom.